Cs2Tl2Bi: PBEsol geometry, SCAN.

Lattice parameters (Å, degrees): 6.153 8.194 8.194 90.00 90.00 90.00
Fractional coordinates of all 10 atoms:
Cs1 0.500 0.188 0.688
Cs2 0.500 0.688 0.812
Cs3 0.500 0.812 0.312
Cs4 0.500 0.312 0.188
Tl1 0.000 0.371 0.871
Tl2 0.000 0.871 0.629
Tl3 0.000 0.629 0.129
Tl4 0.000 0.129 0.371
Bi1 0.000 0.000 0.000
Bi2 0.000 0.500 0.500

DFT total energy   -60.029 eV per atom
Energy of formation   -0.245 eV per atom